# 1
# Ag3ICl

A geometry-optimized Ag3ICl structure (GGA-PBEsol, Alexandria via LeMat-Bulk).

Its uncorrected formation energy is 0.32 eV per atom. The calculation puts the total energy at -0.089 hartree per atom. The calculation puts the magnetization at 0.0 μB/cell.

The space group is Pm-3m (No. 221) and the conventional cell measures 4.999, 4.999 and 4.999 Å, with angles of 90.00, 90.00 and 90.00 degrees. The asymmetric unit holds Ag at (0.000, 0.000, 0.500), I at (0.500, 0.500, 0.500) and Cl at (0.000, 0.000, 0.000).

***

# 2
# Ag2I2Cl

A geometry-optimized Ag2I2Cl structure (GGA-PBEsol, Alexandria via LeMat-Bulk).

Its uncorrected formation energy is -0.06 eV per atom. The calculation puts the total energy at -0.091 hartree per atom. The calculation puts the magnetization at 0.0 μB/cell.

The space group is I4/mmm (No. 139) and the conventional cell measures 4.177, 4.177 and 15.079 Å, with angles of 90.00, 90.00 and 90.00 degrees. The asymmetric unit holds Ag at (0.000, 0.500, 0.250), I at (0.000, 0.000, 0.124) and Cl at (0.000, 0.000, 0.500).

***

# 3
# AgPICl2

A geometry-optimized AgPICl2 structure (GGA-PBEsol, Alexandria via LeMat-Bulk).

Its uncorrected formation energy is 0.79 eV per atom. The calculation puts the total energy at -0.080 hartree per atom. The calculation puts the magnetization at 0.0 μB/cell.

The space group is P4/mmm (No. 123) and the conventional cell measures 5.338, 5.338 and 5.120 Å, with angles of 90.00, 90.00 and 90.00 degrees. The asymmetric unit holds Ag at (0.000, 0.000, 0.000), P at (0.500, 0.500, 0.000), I at (0.500, 0.500, 0.500) and Cl at (0.000, 0.500, 0.500).

***

# 4
# AgSb2ICl

A geometry-optimized AgSb2ICl structure (GGA-PBEsol, Alexandria via LeMat-Bulk).

Its uncorrected formation energy is 0.83 eV per atom. The calculation puts the total energy at -0.089 hartree per atom. The calculation puts the magnetization at 0.0 μB/cell.

The space group is P4/mmm (No. 123) and the conventional cell measures 5.030, 5.030 and 6.679 Å, with angles of 90.00, 90.00 and 90.00 degrees. The asymmetric unit holds Ag at (0.000, 0.000, 0.000), Sb at (0.000, 0.500, 0.500), I at (0.500, 0.500, 0.000) and Cl at (0.500, 0.500, 0.500).

***

# 5
# Rb2InAgCl6

A geometry-optimized Rb2InAgCl6 structure (GGA-PBEsol, Alexandria via LeMat-Bulk).

Its uncorrected formation energy is -1.34 eV per atom. The calculation puts the total energy at -0.124 hartree per atom. The calculation puts the magnetization at 0.0 μB/cell.

The space group is Fm-3m (No. 225) and the conventional cell measures 10.291, 10.291 and 10.291 Å, with angles of 90.00, 90.00 and 90.00 degrees. The asymmetric unit holds Rb at (0.250, 0.250, 0.250), In at (0.000, 0.000, 0.000), Ag at (0.000, 0.000, 0.500) and Cl at (0.000, 0.000, 0.245).

***

# 6
# In2AgS3Cl

A geometry-optimized In2AgS3Cl structure (GGA-PBEsol, Alexandria via LeMat-Bulk).

Its uncorrected formation energy is -0.60 eV per atom. The calculation puts the total energy at -0.150 hartree per atom. The calculation puts the magnetization at 0.0 μB/cell.

The space group is R-3m (No. 166, hexagonal axes) and the conventional cell measures 7.7258, 7.7258 and 18.3836 Å, with angles of 90.00, 90.00 and 120.00 degrees. The asymmetric unit holds In at (0.0000, 0.0000, 0.0000), In at (0.0000, 0.5000, 0.5000), Ag at (0.0000, 0.0000, 0.4156), S at (0.0293, 0.5146, 0.7565) and Cl at (0.0000, 0.0000, 0.2548).

***

# 7
# In2AgSeCl

A geometry-optimized In2AgSeCl structure (GGA-PBEsol, Alexandria via LeMat-Bulk).

Its uncorrected formation energy is 0.20 eV per atom. The calculation puts the total energy at -0.104 hartree per atom. The calculation puts the magnetization at 0.0 μB/cell.

The space group is P4/mmm (No. 123) and the conventional cell measures 5.606, 5.606 and 4.670 Å, with angles of 90.00, 90.00 and 90.00 degrees. The asymmetric unit holds In at (0.000, 0.500, 0.000), Ag at (0.000, 0.000, 0.500), Se at (0.500, 0.500, 0.500) and Cl at (0.000, 0.000, 0.000).

***

# 8
# AgIr2Cl

A geometry-optimized AgIr2Cl structure (GGA-PBEsol, Alexandria via LeMat-Bulk).

The calculation puts the polymorph energy (0 for the lowest one) at 351.5 meV per atom. Its uncorrected formation energy is 1.14 eV per atom. The calculation puts the total energy at -0.187 hartree per atom. The calculation puts the magnetization at 0.0 μB/cell.

The space group is P4/mmm (No. 123) and the conventional cell measures 4.655, 4.655 and 2.802 Å, with angles of 90.00, 90.00 and 90.00 degrees. The asymmetric unit holds Ag at (0.000, 0.000, 0.000), Ir at (0.000, 0.500, 0.500) and Cl at (0.500, 0.500, 0.000).

***

# 9
# Ag2IrCl

A geometry-optimized Ag2IrCl structure (GGA-PBEsol, Alexandria via LeMat-Bulk).

The calculation puts the polymorph energy (0 for the lowest one) at 0.0 meV per atom. Its uncorrected formation energy is 0.30 eV per atom. The calculation puts the total energy at -0.158 hartree per atom. The calculation puts the magnetization at 1.0 μB/cell.

The space group is R-3m (No. 166, hexagonal axes) and the conventional cell measures 2.9303, 2.9303 and 25.9830 Å, with angles of 90.00, 90.00 and 120.00 degrees. The asymmetric unit holds Ag at (0.0000, 0.0000, 0.2484), Ir at (0.0000, 0.0000, 0.0000) and Cl at (0.0000, 0.0000, 0.5000).

***

# 10
# Ag2IrCl

A geometry-optimized Ag2IrCl structure (GGA-PBEsol, Alexandria via LeMat-Bulk).

The calculation puts the polymorph energy (0 for the lowest one) at 586.4 meV per atom. Its uncorrected formation energy is 0.89 eV per atom. The calculation puts the total energy at -0.137 hartree per atom. The calculation puts the magnetization at 3.9 μB/cell.

The space group is Fm-3m (No. 225) and the conventional cell measures 6.458, 6.458 and 6.458 Å, with angles of 90.00, 90.00 and 90.00 degrees. The asymmetric unit holds Ag at (0.250, 0.250, 0.250), Ir at (0.000, 0.000, 0.000) and Cl at (0.000, 0.000, 0.500).

***

# 11
# AgIr2Cl

A geometry-optimized AgIr2Cl structure (GGA-PBEsol, Alexandria via LeMat-Bulk).

The calculation puts the polymorph energy (0 for the lowest one) at 0.0 meV per atom. Its uncorrected formation energy is 0.79 eV per atom. The calculation puts the total energy at -0.200 hartree per atom. The calculation puts the magnetization at 0.0 μB/cell.

The space group is C2/m (No. 12) and the conventional cell measures 5.442, 9.429 and 2.790 Å, with angles of 90.00, 120.42 and 90.00 degrees. The asymmetric unit holds Ag at (0.000, 0.000, 0.000), Ir at (0.250, 0.250, 0.000) and Cl at (0.000, 0.500, 0.000).

***

# 12
# AgIrS2Cl

A geometry-optimized AgIrS2Cl structure (GGA-PBEsol, Alexandria via LeMat-Bulk).

Its uncorrected formation energy is 0.41 eV per atom. The calculation puts the total energy at -0.161 hartree per atom. The calculation puts the magnetization at 0.0 μB/cell.

The space group is P4/mmm (No. 123) and the conventional cell measures 4.516, 4.516 and 5.036 Å, with angles of 90.00, 90.00 and 90.00 degrees. The asymmetric unit holds Ag at (0.000, 0.000, 0.000), Ir at (0.500, 0.500, 0.500), S at (0.000, 0.500, 0.500) and Cl at (0.500, 0.500, 0.000).

***

# 13
# K2AgCl

A geometry-optimized K2AgCl structure (GGA-PBEsol, Alexandria via LeMat-Bulk).

Its uncorrected formation energy is -0.79 eV per atom. The calculation puts the total energy at -0.099 hartree per atom. The calculation puts the magnetization at 0.0 μB/cell.

The space group is R-3m (No. 166, hexagonal axes) and the conventional cell measures 4.4824, 4.4824 and 23.6258 Å, with angles of 90.00, 90.00 and 120.00 degrees. The asymmetric unit holds K at (0.0000, 0.0000, 0.2417), Ag at (0.0000, 0.0000, 0.0000) and Cl at (0.0000, 0.0000, 0.5000).